# BaLa2Tl, relaxed, DFT PBE-GGA
# Total DFT energy (no corrections)   -42.36 eV for the cell shown
data_BaLa2Tl
_cell_length_a 5.4952
_cell_length_b 5.4952
_cell_length_c 19.3272
_cell_angle_alpha 90.00
_cell_angle_beta 90.00
_cell_angle_gamma 120.00
_symmetry_space_group_name_H-M 'R 3 m'
_symmetry_Int_Tables_number 160
_symmetry_space_group_name_Hall 'R 3 -2"'
loop_
_atom_site_label
_atom_site_fract_x
_atom_site_fract_y
_atom_site_fract_z
_atom_site_occupancy
Ba1 0.0000 0.0000 0.0000 1
La1 0.0000 0.0000 0.2131 1
La2 0.0000 0.0000 0.4484 1
Tl1 0.0000 0.0000 0.8065 1

# BaBe3In, relaxed, DFT PBE-GGA
# Total DFT energy (no corrections)   -5.90 eV for the cell shown
data_BaBe3In
_cell_length_a 5.5709
_cell_length_b 5.5709
_cell_length_c 5.5709
_cell_angle_alpha 90.00
_cell_angle_beta 90.00
_cell_angle_gamma 90.00
_symmetry_space_group_name_H-M 'P m -3 m'
_symmetry_Int_Tables_number 221
_symmetry_space_group_name_Hall '-P 4 2 3'
loop_
_atom_site_label
_atom_site_fract_x
_atom_site_fract_y
_atom_site_fract_z
_atom_site_occupancy
Ba1 0.0000 0.0000 0.0000 1
Be1 0.0000 0.0000 0.5000 1
In1 0.5000 0.5000 0.5000 1

What are the relative energy among the computed polymorphs values for these records? In order: 0.1536, 1.2427 eV per atom.